{
  "formula": "Fe2SiAu",
  "functional": "PBE-GGA",
  "state": "relaxed",
  "lattice": [[8.253, -0.083, -0.049], [7.795, 2.712, -0.049], [7.795, 1.277, 2.393]],
  "species": ["Au", "Fe", "Fe", "Si"],
  "frac_coords": [[0.750, 0.750, 0.750], [0.991, 0.991, 0.991], [0.249, 0.249, 0.249], [0.510, 0.510, 0.510]],
  "spacegroup": "R3m (160)",
  "e_form_raw_ev_per_atom": 0.147
}